Record 1
# AcCoCuO4

A relaxed structure of AcCoCuO4 (PBE with a Hubbard U, Alexandria via LeMat-Bulk).

Summary:
Fermi-level density of states	0.48	states/eV/atom
VASP energy	-6.336	eV per atom
volume	14.7	Å³ per atom

Lattice parameters (Å, degrees): 5.619 5.619 6.514 90.00 90.00 90.00
Space group I-4 (No. 82)
Inequivalent atoms, fractional coordinates:
Ac 0.000 0.000 0.000 (multiplicity 2)
Co 0.000 0.500 0.750 (multiplicity 2)
Cu 0.000 0.000 0.500 (multiplicity 2)
O 0.168 0.236 0.678 (multiplicity 8)



Record 2
# Ac4CoCu3O12

A relaxed structure of Ac4CoCu3O12 (PBE with a Hubbard U, Alexandria via LeMat-Bulk).

Summary:
Fermi-level density of states	0.50	states/eV/atom
VASP energy	-6.685	eV per atom
volume	12.2	Å³ per atom

Lattice parameters (Å, degrees): 7.864 7.864 7.864 90.00 90.00 90.00
Space group Im-3m (No. 229)
Inequivalent atoms, fractional coordinates:
Ac 0.250 0.250 0.250 (multiplicity 8)
Co 0.000 0.000 0.000 (multiplicity 2)
Cu 0.000 0.000 0.500 (multiplicity 6)
O 0.000 0.000 0.246 (multiplicity 12)
O 0.000 0.250 0.500 (multiplicity 12)



Record 3
# Ac3CoCu2O9

A relaxed structure of Ac3CoCu2O9 (PBE with a Hubbard U, Alexandria via LeMat-Bulk).

Summary:
Fermi-level density of states	0.20	states/eV/atom
VASP energy	-6.747	eV per atom
volume	12.2	Å³ per atom

Lattice parameters (Å, degrees): 5.5635 5.5635 6.8291 90.00 90.00 120.00
Space group P-3m1 (No. 164)
Inequivalent atoms, fractional coordinates:
Ac 0.0000 0.0000 0.0000 (multiplicity 1)
Ac 0.3333 0.6667 0.6654 (multiplicity 2)
Co 0.0000 0.0000 0.5000 (multiplicity 1)
Cu 0.3333 0.6667 0.1660 (multiplicity 2)
O 0.0000 0.5000 0.0000 (multiplicity 3)
O 0.1632 0.3265 0.3368 (multiplicity 6)



Record 4
# Ac2CoCuO6

A relaxed structure of Ac2CoCuO6 (PBE with a Hubbard U, Alexandria via LeMat-Bulk).

Summary:
Fermi-level density of states	0.38	states/eV/atom
VASP energy	-6.801	eV per atom
volume	12.2	Å³ per atom

Lattice parameters (Å, degrees): 9.635 5.564 5.612 90.00 125.59 90.00
Space group C2/m (No. 12)
Inequivalent atoms, fractional coordinates:
Ac 0.250 0.000 0.249 (multiplicity 4)
Co 0.000 0.500 0.000 (multiplicity 2)
Cu 0.000 0.000 0.500 (multiplicity 2)
O 0.016 0.256 0.259 (multiplicity 8)
O 0.247 0.500 0.215 (multiplicity 4)



Record 5
# Ac2CoCu2O6

A relaxed structure of Ac2CoCu2O6 (PBE with a Hubbard U, Alexandria via LeMat-Bulk).

Summary:
Fermi-level density of states	0.80	states/eV/atom
VASP energy	-6.367	eV per atom
volume	13.3	Å³ per atom

Lattice parameters (Å, degrees): 5.8023 5.8023 15.0835 90.00 90.00 120.00
Space group R-3m (No. 166, hexagonal axes)
Inequivalent atoms, fractional coordinates:
Ac 0.0000 0.0000 0.2211 (multiplicity 6)
Co 0.0000 0.0000 0.0000 (multiplicity 3)
Cu 0.0000 0.0000 0.4162 (multiplicity 6)
O 0.0404 0.5202 0.7518 (multiplicity 18)



Record 6
# AcCo2CuO8

A relaxed structure of AcCo2CuO8 (PBE with a Hubbard U, Alexandria via LeMat-Bulk).

Summary:
Fermi-level density of states	0.26	states/eV/atom
VASP energy	-5.677	eV per atom
volume	14.1	Å³ per atom

Lattice parameters (Å, degrees): 7.181 7.181 6.558 90.00 90.00 90.00
Space group I-4m2 (No. 119)
Inequivalent atoms, fractional coordinates:
Ac 0.000 0.000 0.000 (multiplicity 2)
Co 0.000 0.000 0.500 (multiplicity 2)
Co 0.000 0.500 0.250 (multiplicity 2)
Cu 0.000 0.500 0.750 (multiplicity 2)
O 0.000 0.188 0.666 (multiplicity 8)
O 0.000 0.333 0.073 (multiplicity 8)